[1]
DFT (GGA-PBE) results for crystalline NaEu2Cu at its relaxed geometry.

a = 4.123 Å, b = 5.419 Å, c = 5.419 Å
α = 90.00°, β = 90.00°, γ = 90.00°
Positions (direct):
1 Eu 0.000 0.000 0.500
2 Eu 0.000 0.500 0.000
3 Na 0.500 0.000 0.000
4 Cu 0.500 0.500 0.500

Results
ΔH_f (0 K), eV per atom: 0.12
ΔE to the lowest computed polymorph, eV per atom: 0.1386
Space-group type: P4/mmm, No. 123

[2]
DFT (GGA-PBE) results for crystalline NaEuCu4 at its relaxed geometry.

a = 5.258 Å, b = 5.258 Å, c = 5.258 Å
α = 60.00°, β = 60.00°, γ = 60.00°
Positions (direct):
1 Eu 0.250 0.250 0.250
2 Na 0.000 0.000 0.000
3 Cu 0.626 0.626 0.121
4 Cu 0.626 0.121 0.626
5 Cu 0.626 0.626 0.626
6 Cu 0.121 0.626 0.626

Results
ΔH_f (0 K), eV per atom: 0.01
Space-group type: F-43m, No. 216

[3]
DFT (GGA-PBE) results for crystalline NaEu2Cu at its relaxed geometry.

a = 5.539 Å, b = 5.539 Å, c = 5.539 Å
α = 60.00°, β = 60.00°, γ = 60.00°
Positions (direct):
1 Eu 0.250 0.250 0.250
2 Eu 0.750 0.750 0.750
3 Na 0.500 0.500 0.500
4 Cu 0.000 0.000 0.000

Results
ΔH_f (0 K), eV per atom: 0.11
ΔE to the lowest computed polymorph, eV per atom: 0.1239
Space-group type: Fm-3m, No. 225

[4]
DFT (GGA-PBE) results for crystalline NaEu2Cu at its relaxed geometry.

a = 3.682 Å, b = 3.682 Å, c = 9.398 Å
α = 90.00°, β = 90.00°, γ = 90.00°
Positions (direct):
1 Eu 0.000 0.000 0.813
2 Eu 0.000 0.000 0.187
3 Na 0.500 0.500 0.500
4 Cu 0.500 0.500 0.000

Results
ΔH_f (0 K), eV per atom: -0.01
ΔE to the lowest computed polymorph, eV per atom: 0.0000
Space-group type: P4/mmm, No. 123

[5]
DFT (GGA-PBE) results for crystalline NaEuCuSn at its relaxed geometry.

a = 5.030 Å, b = 5.030 Å, c = 5.030 Å
α = 60.00°, β = 60.00°, γ = 60.00°
Positions (direct):
1 Eu 0.750 0.750 0.750
2 Na 0.000 0.000 0.000
3 Sn 0.250 0.250 0.250
4 Cu 0.500 0.500 0.500

Results
ΔH_f (0 K), eV per atom: -0.21
Space-group type: F-43m, No. 216

[6]
DFT (GGA-PBE) results for crystalline NaEuZnCu at its relaxed geometry.

a = 5.112 Å, b = 5.112 Å, c = 5.112 Å
α = 60.00°, β = 60.00°, γ = 60.00°
Positions (direct):
1 Eu 0.000 0.000 0.000
2 Na 0.500 0.500 0.500
3 Zn 0.750 0.750 0.750
4 Cu 0.250 0.250 0.250

Results
ΔH_f (0 K), eV per atom: 0.04
Space-group type: F-43m, No. 216